1.
This record from the Alexandria database describes crystalline CaPr12Er6 at its relaxed geometry. The functional is PBE-GGA.

a = 15.4247 Å, b = 15.4247 Å, c = 10.3087 Å
α = 90.00°, β = 90.00°, γ = 120.00°
Last column: nearest neighbours and their distance in Å.
Space group R-3m (No. 166, hexagonal axes)
Inequivalent atoms, fractional coordinates:
Ca1 0.0000 0.0000 0.0000 x3  6 Pr 3.68
Pr1 0.0000 0.3882 0.5000 x18  4 Er 3.34-3.49, 3 Pr 3.45-3.74
Pr2 0.0724 0.1448 0.3038 x18  1 Er 3.11, 2 Pr 3.35
Er1 0.0499 0.5249 0.2125 x18  3 Pr 3.11-3.34

Values from the calculation:
- N(E_F) (states/eV per cell) = 82.7
- ΔH_f (0 K) (eV per atom) = 0.390

2.
This record from the Alexandria database describes crystalline IrOs2Pb at its relaxed geometry. The functional is PBE-GGA.

a = 2.9060 Å, b = 2.9060 Å, c = 8.0738 Å
α = 90.00°, β = 90.00°, γ = 90.00°
Last column: nearest neighbours and their distance in Å.
Space group P4mm (No. 99)
Inequivalent atoms, fractional coordinates:
Ir1 0.0000 0.0000 0.0000 x1  4 Os 2.75, 4 Ir 2.91, 4 Pb 3.07
Os1 0.0000 0.0000 0.4305 x1  8 Os 2.63-2.91
Os2 0.5000 0.5000 0.2269 x1  8 Os 2.63-2.91, 4 Ir 2.75
Pb1 0.5000 0.5000 0.7168 x1  4 Pb 2.91, 4 Ir 3.07, 4 Os 3.09

Values from the calculation:
- N(E_F) (states/eV per cell) = 3.5
- ΔH_f (0 K) (eV per atom) = 0.594

3.
This record from the Alexandria database describes crystalline BPdS at its relaxed geometry. The functional is PBE-GGA.

a = 10.3778 Å, b = 3.0252 Å, c = 7.0394 Å
α = 90.00°, β = 130.98°, γ = 90.00°
Last column: nearest neighbours and their distance in Å.
Space group C2/m (No. 12)
Inequivalent atoms, fractional coordinates:
B1 0.0249 0.0000 0.1408 x4  1 B 1.69, 2 S 1.88
Pd1 0.2375 0.5000 0.8155 x4  2 B 2.28, 1 S 2.41
S1 0.0431 0.5000 0.3162 x4  2 B 1.88

Values from the calculation:
- energy relative to the elements, uncorrected (eV/atom) = -0.210
- energy above the lowest structure with this stoichiometry (meV per atom) = 0
- N(E_F) (states/eV per cell) = 2.8

4.
This record from the Alexandria database describes crystalline TaPd8Pt2 at its relaxed geometry. The functional is PBE-GGA.

a = 9.9887 Å, b = 8.9181 Å, c = 4.6949 Å
α = 90.00°, β = 105.70°, γ = 90.00°
Last column: nearest neighbours and their distance in Å.
Space group C2/m (No. 12)
Inequivalent atoms, fractional coordinates:
Ta1 0.0000 0.0000 0.0000 x2  2 Pt 2.56, 6 Pd 2.60-2.63
Pd1 0.0767 0.5000 0.2949 x4  1 Pt 2.66, 7 Pd 2.74-2.92
Pd2 0.0827 0.2460 0.8019 x8  1 Ta 2.60, 4 Pd 2.66-2.87, 1 Pt 2.68
Pd3 0.2268 0.5000 0.8837 x4  2 Pt 2.63-2.66, 1 Ta 2.63, 5 Pd 2.66-2.92
Pt1 0.1462 0.0000 0.5391 x4  1 Ta 2.56, 5 Pd 2.63-2.68, 1 Pt 2.84

Values from the calculation:
- energy above the lowest structure with this stoichiometry (meV per atom) = 222
- N(E_F) (states/eV per cell) = 24.5
- ΔH_f (0 K) (eV per atom) = 0.114

Q: Number 1 is which compound?
A: CaPr12Er6